1.
PrErPtRh: relaxed, PBE-GGA.

Unit cell a=7.0425 b=7.0425 c=7.0425 alpha=90.00 beta=90.00 gamma=90.00
Space group F-43m (No. 216)
Unique sites:
Pr (0.0000, 0.0000, 0.0000) x4
Er (0.0000, 0.0000, 0.5000) x4
Pt (0.2500, 0.2500, 0.2500) x4
Rh (0.2500, 0.2500, 0.7500) x4

Properties
**DOS(E_F)**: 0.5338 states/eV/atom
**E_tot**: -105.7 eV for the cell shown
**ΔE to the lowest computed polymorph**: 0.22 eV per formula unit
**Energy of formation**: -0.920 eV per atom



2.
K4Ho3InTe8: relaxed, PBE-GGA.

Unit cell a=8.9479 b=8.9479 c=24.7687 alpha=90.00 beta=90.00 gamma=120.00
Space group R-3m (No. 166, hexagonal axes)
Unique sites:
K (0.0000, 0.0000, 0.0000) x3
K (0.0000, 0.5000, 0.0000) x9
Ho (0.0000, 0.5000, 0.5000) x9
In (0.0000, 0.0000, 0.5000) x3
Te (0.0000, 0.0000, 0.2360) x6
Te (0.0028, 0.5014, 0.2351) x18

Properties
**DOS(E_F)**: 0.1309 states/eV/atom
**E_tot**: -194.5 eV for the cell shown
**ΔE_f (raw)**: -1.1776 eV/atom



3.
KLaICl2: relaxed, PBE-GGA.

Unit cell a=5.6168 b=5.6168 c=6.4300 alpha=90.00 beta=90.00 gamma=90.00
Space group P4/mmm (No. 123)
Unique sites:
K (0.0000, 0.0000, 0.0000) x1
La (0.5000, 0.5000, 0.5000) x1
I (0.5000, 0.5000, 0.0000) x1
Cl (0.0000, 0.5000, 0.5000) x2

Properties
**DOS(E_F)**: 0.8869 states/eV/atom
**E_tot**: -19.7 eV for the cell shown
**ΔE_f (raw)**: -1.6790 eV/atom



4.
Mn3NiPb: relaxed, PBE-GGA.

Unit cell a=4.5854 b=4.5854 c=4.5854 alpha=90.00 beta=90.00 gamma=90.00
Space group Pm-3m (No. 221)
Unique sites:
Mn (0.0000, 0.0000, 0.5000) x3
Ni (0.0000, 0.0000, 0.0000) x1
Pb (0.5000, 0.5000, 0.5000) x1

Properties
**DOS(E_F)**: 1.1228 states/eV/atom
**E_tot**: -33.9 eV for the cell shown
**ΔE to the lowest computed polymorph**: 0.00 eV per formula unit
**Energy of formation**: 0.610 eV per atom



5.
Cs2RbTcO4: relaxed, PBE-GGA.

Unit cell a=6.7216 b=6.7216 c=8.6070 alpha=90.00 beta=90.00 gamma=90.00
Space group I-4 (No. 82)
Unique sites:
Cs (0.0000, 0.0000, 0.0000) x2
Cs (0.0000, 0.5000, 0.2500) x2
Rb (0.0000, 0.5000, 0.7500) x2
Tc (0.0000, 0.0000, 0.5000) x2
O (0.1709, 0.8075, 0.5719) x8

Properties
**E_tot**: -89.9 eV for the cell shown
**ΔE_f (raw)**: -1.5126 eV/atom



6.
Tl2HSe: relaxed, PBE-GGA.

Unit cell a=7.2388 b=7.2388 c=7.2388 alpha=90.00 beta=90.00 gamma=90.00
Space group Fm-3m (No. 225)
Unique sites:
Tl (0.2500, 0.2500, 0.2500) x8
H (0.0000, 0.0000, 0.0000) x4
Se (0.0000, 0.0000, 0.5000) x4

Properties
**DOS(E_F)**: 0.7558 states/eV/atom
**E_tot**: -43.0 eV for the cell shown
**ΔE to the lowest computed polymorph**: 1.08 eV per formula unit



7.
MgPd2Se: relaxed, PBE-GGA.

Unit cell a=6.4254 b=6.4254 c=6.4254 alpha=90.00 beta=90.00 gamma=90.00
Space group Fm-3m (No. 225)
Unique sites:
Mg (0.0000, 0.0000, 0.0000) x4
Pd (0.2500, 0.2500, 0.2500) x8
Se (0.0000, 0.0000, 0.5000) x4

Properties
**DOS(E_F)**: 0.7650 states/eV/atom
**E_tot**: -68.1 eV for the cell shown
**ΔE to the lowest computed polymorph**: 0.05 eV per formula unit
**ΔE_f (raw)**: -0.3926 eV/atom



8.
LaY2Bi2: relaxed, PBE-GGA.

Unit cell a=5.9209 b=5.9209 c=10.1303 alpha=90.00 beta=90.00 gamma=90.00
Space group I4/mmm (No. 139)
Unique sites:
La (0.0000, 0.0000, 0.0000) x2
Y (0.0000, 0.0000, 0.3319) x4
Bi (0.0000, 0.5000, 0.2500) x4

Properties
**DOS(E_F)**: 0.9929 states/eV/atom
**E_tot**: -55.2 eV for the cell shown
**ΔE to the lowest computed polymorph**: 1.71 eV per formula unit
**Energy of formation**: -0.399 eV per atom



9.
Ac2Cd2Hg7: relaxed, PBE-GGA.

Unit cell a=10.1379 b=11.0380 c=5.6532 alpha=90.00 beta=103.25 gamma=90.00
Space group C2/m (No. 12)
Unique sites:
Ac (0.2291, 0.0000, 0.1283) x4
Cd (0.0000, 0.2630, 0.0000) x4
Hg (0.0000, 0.0000, 0.5000) x2
Hg (0.0774, 0.5000, 0.3000) x4
Hg (0.1811, 0.2085, 0.6801) x8

Properties
**DOS(E_F)**: 0.4608 states/eV/atom
**E_tot**: -29.7 eV for the cell shown
**Energy of formation**: -0.247 eV per atom



10.
PmAg2Se2O6: relaxed, PBE-GGA.

Unit cell a=9.8000 b=6.0468 c=7.4245 alpha=90.00 beta=120.98 gamma=90.00
Space group C2/m (No. 12)
Unique sites:
Pm (0.0000, 0.0000, 0.0000) x2
Ag (0.0701, 0.5000, 0.7154) x4
Se (0.2284, 0.0000, 0.6983) x4
O (0.1404, 0.2817, 0.2424) x8
O (0.1988, 0.0000, 0.9102) x4

Properties
**DOS(E_F)**: 0.3296 states/eV/atom
**E_tot**: -119.2 eV for the cell shown
**ΔE_f (raw)**: -1.1278 eV/atom



11.
Cu2BiPd8: relaxed, PBE-GGA.

Unit cell a=13.0339 b=5.3756 c=5.2174 alpha=90.00 beta=97.57 gamma=90.00
Space group C2/m (No. 12)
Unique sites:
Cu (0.2480, 0.0000, 0.0313) x4
Bi (0.0000, 0.0000, 0.5000) x2
Pd (0.0886, 0.5000, 0.6594) x4
Pd (0.0958, 0.2572, 0.1467) x8
Pd (0.2240, 0.0000, 0.5450) x4

Properties
**DOS(E_F)**: 0.8474 states/eV/atom
**E_tot**: -107.2 eV for the cell shown
**ΔE to the lowest computed polymorph**: 1.46 eV per formula unit
**Energy of formation**: 0.002 eV per atom



12.
Tl8AsSe2: relaxed, PBE-GGA.

Unit cell a=22.3753 b=4.4326 c=7.2362 alpha=90.00 beta=101.91 gamma=90.00
Space group C2/m (No. 12)
Unique sites:
Tl (0.0223, 0.0000, 0.2448) x4
Tl (0.0983, 0.5000, 0.9083) x4
Tl (0.1365, 0.5000, 0.4500) x4
Tl (0.2183, 0.0000, 0.2019) x4
As (0.0000, 0.5000, 0.5000) x2
Se (0.1781, 0.0000, 0.7573) x4

Properties
**DOS(E_F)**: 0.2763 states/eV/atom
**E_tot**: -64.8 eV for the cell shown
**ΔE_f (raw)**: -0.1698 eV/atom